Run one
## HfFe3O (GGA+U)

Data for HfFe3O after structural relaxation.

a b c (Å): 4.9856 4.9856 4.9856
angles (deg): 90.00 90.00 90.00
Last column: nearest neighbours and their distance in Å.
Positions (direct):
Fe1 0.0000 0.0000 0.5000  2 Hf 2.49
Fe2 0.0000 0.5000 0.0000  2 Hf 2.49
Fe3 0.5000 0.0000 0.0000  2 Hf 2.49
Hf1 0.0000 0.0000 0.0000  6 Fe 2.49
O1 0.5000 0.5000 0.5000  12 Fe 3.53

DOS at the Fermi energy: 7.629 states/eV per cell

Run two
## HfFe3O (GGA+U)

Data for HfFe3O after structural relaxation.

a b c (Å): 4.2564 4.2564 4.2564
angles (deg): 90.00 90.00 90.00
Last column: nearest neighbours and their distance in Å.
Positions (direct):
Fe1 0.0000 0.0000 0.5000  2 O 2.13
Fe2 0.5000 0.0000 0.0000  2 O 2.13
Fe3 0.0000 0.5000 0.0000  2 O 2.13
O1 0.0000 0.0000 0.0000  6 Fe 2.13
Hf1 0.5000 0.5000 0.5000  12 Fe 3.01

DOS at the Fermi energy: 4.695 states/eV per cell

Which of them is most stable, and which least? Most stable: run two; least stable: run one.